Compound: Zn2WF2
Source: Alexandria via LeMat-Bulk
Functional: PBE with a Hubbard U
Structure: relaxed

```
Zn2WF2
1.0
-1.6572 1.6572 6.4549
1.6572 -1.6572 6.4549
1.6572 1.6572 -6.4549
Zn W F
2 1 2
direct
0.1440 0.1440 0.0000
0.8560 0.8560 0.0000
0.5000 0.5000 0.0000
0.2500 0.7500 0.5000
0.7500 0.2500 0.5000
```

Total energy (eV/atom): -3.312
Fermi-level density of states (states/eV/cell): 0.791
Distance to the lowest polymorph of the same formula (meV/atom): 0